A | A plane-wave DFT calculation with PBE-GGA was carried out for an optimized crystal structure of GaCSe2Br.

Cell: 4.2350 4.2350 8.0031 Å, 90.00 90.00 90.00°
Last column: nearest neighbours and their distance in Å.
Positions (direct):
Ga  0.0000  0.0000  0.0000  4 Br 2.99
C  0.5000  0.5000  0.5000  4 Se 2.12
Se  0.0000  0.5000  0.5000  2 C 2.12
Se  0.5000  0.0000  0.5000  2 C 2.12
Br  0.5000  0.5000  0.0000  4 Ga 2.99

---

B | A plane-wave DFT calculation with PBE-GGA was carried out for an optimized crystal structure of GaCSe2Br.

Cell: 5.0448 5.0448 5.0675 Å, 90.00 90.00 90.00°
Last column: nearest neighbours and their distance in Å.
Positions (direct):
Ga  0.0000  0.0000  0.0000  4 Se 2.52, 2 Br 2.53
C  0.5000  0.5000  0.5000  4 Br 3.57, 8 Se 3.58
Se  0.0000  0.5000  0.0000  2 Ga 2.52
Se  0.5000  0.0000  0.0000  2 Ga 2.52
Br  0.0000  0.0000  0.5000  2 Ga 2.53

---

Result of the stability comparison: A is the most stable of them.

---

A | A plane-wave DFT calculation with PBE-GGA was carried out for an optimized crystal structure of Ge3CBr.

Cell: 5.1707 5.1707 5.1707 Å, 90.00 90.00 90.00°
Last column: nearest neighbours and their distance in Å.
Positions (direct):
Ge  0.0000  0.0000  0.5000  2 Br 2.59
Ge  0.0000  0.5000  0.0000  2 Br 2.59
Ge  0.5000  0.0000  0.0000  2 Br 2.59
C  0.5000  0.5000  0.5000  12 Ge 3.66
Br  0.0000  0.0000  0.0000  6 Ge 2.59

---

B | A plane-wave DFT calculation with PBE-GGA was carried out for an optimized crystal structure of Ge3CBr.

Cell: 4.6215 4.6215 4.6215 Å, 90.00 90.00 90.00°
Last column: nearest neighbours and their distance in Å.
Positions (direct):
Ge  0.0000  0.0000  0.5000  2 C 2.31
Ge  0.0000  0.5000  0.0000  2 C 2.31
Ge  0.5000  0.0000  0.0000  2 C 2.31
C  0.0000  0.0000  0.0000  6 Ge 2.31
Br  0.5000  0.5000  0.5000  12 Ge 3.27

---

Result of the stability comparison: B is the most stable of them.

---

A | A plane-wave DFT calculation with PBE-GGA was carried out for an optimized crystal structure of GeC3Br.

Cell: 4.0755 4.0755 4.0755 Å, 90.00 90.00 90.00°
Last column: nearest neighbours and their distance in Å.
Positions (direct):
Ge  0.0000  0.0000  0.0000  12 C 2.88
C  0.0000  0.5000  0.5000  2 Br 2.04
C  0.5000  0.0000  0.5000  2 Br 2.04
C  0.5000  0.5000  0.0000  2 Br 2.04
Br  0.5000  0.5000  0.5000  6 C 2.04

---

B | A plane-wave DFT calculation with PBE-GGA was carried out for an optimized crystal structure of GeC3Br.

Cell: 4.0902 4.0902 4.0902 Å, 90.00 90.00 90.00°
Last column: nearest neighbours and their distance in Å.
Positions (direct):
Ge  0.0000  0.0000  0.0000  6 C 2.05
C  0.0000  0.0000  0.5000  2 Ge 2.05
C  0.0000  0.5000  0.0000  2 Ge 2.05
C  0.5000  0.0000  0.0000  2 Ge 2.05
Br  0.5000  0.5000  0.5000  12 C 2.89

---

Result of the stability comparison: B is the most stable of them.

---

A | A plane-wave DFT calculation with PBE-GGA was carried out for an optimized crystal structure of GeC2Br.

Cell: 5.7645 5.7645 5.7645 Å, 124.77 124.77 81.92°
Last column: nearest neighbours and their distance in Å.
Positions (direct):
Ge  0.0000  0.0000  0.0000  4 C 1.96
Ge  0.7500  0.2500  0.5000  4 C 1.96
C  0.0478  0.6250  0.9228  2 Ge 1.96
C  0.3750  0.2978  0.4228  2 Ge 1.96
C  0.7022  0.1250  0.0772  2 Ge 1.96
C  0.8750  0.9522  0.5772  2 Ge 1.96
Br  0.2500  0.7500  0.5000  4 C 2.45
Br  0.5000  0.5000  0.0000  4 C 2.45

---

B | A plane-wave DFT calculation with PBE-GGA was carried out for an optimized crystal structure of GeC2Br.

Cell: 4.2667 4.2667 4.2667 Å, 60.00 60.00 60.00°
Last column: nearest neighbours and their distance in Å.
Positions (direct):
Ge  0.0000  0.0000  0.0000  8 C 2.61
C  0.2500  0.2500  0.2500  4 Br 2.61, 4 Ge 2.61
C  0.7500  0.7500  0.7500  4 Br 2.61, 4 Ge 2.61
Br  0.5000  0.5000  0.5000  8 C 2.61

---

Result of the stability comparison: A is the most stable of them.

---

A | A plane-wave DFT calculation with PBE-GGA was carried out for an optimized crystal structure of GeCSe2Br.

Cell: 4.4530 4.4530 4.8594 Å, 90.00 90.00 90.00°
Last column: nearest neighbours and their distance in Å.
Positions (direct):
Ge  0.0000  0.0000  0.0000  4 Br 3.15, 8 Se 3.30
C  0.5000  0.5000  0.5000  4 Se 2.23, 2 Br 2.43
Se  0.0000  0.5000  0.5000  2 C 2.23
Se  0.5000  0.0000  0.5000  2 C 2.23
Br  0.5000  0.5000  0.0000  2 C 2.43

---

B | A plane-wave DFT calculation with PBE-GGA was carried out for an optimized crystal structure of GeCSe2Br.

Cell: 5.0639 5.0639 5.1669 Å, 90.00 90.00 90.00°
Last column: nearest neighbours and their distance in Å.
Positions (direct):
Ge  0.0000  0.0000  0.0000  4 Se 2.53, 2 Br 2.58
C  0.5000  0.5000  0.5000  4 Br 3.58, 8 Se 3.62
Se  0.0000  0.5000  0.0000  2 Ge 2.53
Se  0.5000  0.0000  0.0000  2 Ge 2.53
Br  0.0000  0.0000  0.5000  2 Ge 2.58

---

Result of the stability comparison: A is the most stable of them.

---

A | A plane-wave DFT calculation with PBE-GGA was carried out for an optimized crystal structure of GeCSeBr2.

Cell: 4.7589 4.7589 4.4841 Å, 90.00 90.00 90.00°
Last column: nearest neighbours and their distance in Å.
Positions (direct):
Ge  0.0000  0.0000  0.0000  8 Br 3.27, 4 Se 3.37
C  0.5000  0.5000  0.5000  2 Se 2.24, 4 Br 2.38
Se  0.5000  0.5000  0.0000  2 C 2.24
Br  0.0000  0.5000  0.5000  2 C 2.38
Br  0.5000  0.0000  0.5000  2 C 2.38

---

B | A plane-wave DFT calculation with PBE-GGA was carried out for an optimized crystal structure of GeCSeBr2.

Cell: 5.2066 5.2066 5.2464 Å, 90.00 90.00 90.00°
Last column: nearest neighbours and their distance in Å.
Positions (direct):
Ge  0.0000  0.0000  0.0000  4 Br 2.60, 2 Se 2.62
C  0.5000  0.5000  0.5000  4 Se 3.68, 8 Br 3.70
Se  0.0000  0.0000  0.5000  2 Ge 2.62
Br  0.0000  0.5000  0.0000  2 Ge 2.60
Br  0.5000  0.0000  0.0000  2 Ge 2.60

---

Result of the stability comparison: A is the most stable of them.